i.
Below is a relaxed structure of As2P, with properties calculated at the PBE level.

* crystal system: triclinic
* magnetic moment: 0.000 μB/atom

abc: 4.5758 5.0362 6.2245
angles: 71.77 79.94 70.42
Last column: nearest neighbours and their distance in Å.
Space group P1 (No. 1)
Asymmetric unit:
1 As 0.0000 0.0000 0.0000 (multiplicity 1)  2 P 2.35
2 As 0.1288 0.2420 0.3756 (multiplicity 1)  2 As 2.53-2.55, 2 P 2.68-2.69
3 As 0.3489 0.3459 0.6757 (multiplicity 1)  1 P 2.35, 1 As 2.53
4 As 0.6406 0.6825 0.3297 (multiplicity 1)  1 P 2.37, 1 As 2.55
5 P 0.4305 0.5750 0.0563 (multiplicity 1)  2 As 2.35-2.37
6 P 0.7989 0.9401 0.7009 (multiplicity 1)  2 As 2.35



ii.
Below is a relaxed structure of As2P, with properties calculated at the PBE level.

* crystal system: orthorhombic
* magnetic moment: 0.000 μB/atom

abc: 3.1330 3.4024 24.2747
angles: 90.00 90.00 90.00
Last column: nearest neighbours and their distance in Å.
Space group Imma (No. 74)
Asymmetric unit:
1 As 0.0000 0.2500 0.0359 (multiplicity 4)  2 As 2.44
2 As 0.0000 0.2500 0.1955 (multiplicity 4)  4 P 2.54
3 P 0.0000 0.2500 0.6527 (multiplicity 4)  4 As 2.54



Which is most stable? The ranking, best first, is i, ii.



i.
Below is a relaxed structure of LiZrIn, with properties calculated at the PBE level.

* crystal system: monoclinic
* magnetic moment: 0.000 μB/atom

abc: 5.4399 8.9758 5.4747
angles: 90.00 106.54 90.00
Last column: nearest neighbours and their distance in Å.
Space group C2/m (No. 12)
Asymmetric unit:
1 Li 0.0000 0.1611 0.0000 (multiplicity 4)  3 Li 2.89-3.15, 5 In 3.04-3.10, 2 Zr 3.18
2 Zr 0.0000 0.3420 0.5000 (multiplicity 4)  1 Zr 2.84, 5 In 3.07-3.08
3 In 0.0000 0.0000 0.5000 (multiplicity 2)  6 Zr 3.07, 4 Li 3.10, 2 In 3.26
4 In 0.0000 0.5000 0.0000 (multiplicity 2)  6 Li 3.04-3.08, 4 Zr 3.08, 2 In 3.26



ii.
Below is a relaxed structure of LiZrIn, with properties calculated at the PBE level.

* crystal system: monoclinic
* magnetic moment: 0.000 μB/atom

abc: 4.6491 3.5431 7.7972
angles: 90.00 107.29 90.00
Last column: nearest neighbours and their distance in Å.
Space group P2/m (No. 10)
Asymmetric unit:
1 Li 0.1745 0.0000 0.3510 (multiplicity 2)  6 In 2.92, 2 Zr 3.16, 2 Li 3.21-3.22
2 Zr 0.0000 0.5000 0.0000 (multiplicity 1)  4 Zr 2.92, 4 Li 3.16
3 Zr 0.5000 0.0000 0.0000 (multiplicity 1)  4 Zr 2.92, 4 In 3.07
4 In 0.3325 0.5000 0.6632 (multiplicity 2)  6 Li 2.92, 2 Zr 3.07



Which is most stable? The ranking, best first, is ii, i.